PdS2BrN: optimized geometry, PBE-GGA.

Results
Total DFT energy (no corrections): -2.964 eV/atom
SG: P4/mmm (123)
Uncorrected formation energy: 1.725 eV/atom

```
PdS2BrN
1.0
4.989 0.000 0.000
0.000 4.989 0.000
0.000 0.000 3.619
Pd S Br N
1 2 1 1
Direct
0.000 0.000 0.000
0.000 0.500 0.500
0.500 0.000 0.500
0.500 0.500 0.500
0.500 0.500 0.000
```


PdS2BrN: optimized geometry, PBE-GGA.

Results
Total DFT energy (no corrections): -3.571 eV/atom
SG: P4/mmm (123)
Uncorrected formation energy: 1.118 eV/atom

```
PdS2BrN
1.0
4.976 0.000 0.000
0.000 4.976 0.000
0.000 0.000 3.737
Pd S Br N
1 2 1 1
Direct
0.000 0.000 0.000
0.000 0.500 0.000
0.500 0.000 0.000
0.500 0.500 0.500
0.000 0.000 0.500
```


PdSeBrN2: optimized geometry, PBE-GGA.

Results
Total DFT energy (no corrections): -3.997 eV/atom
SG: P4/mmm (123)
Uncorrected formation energy: 1.403 eV/atom

```
PdSeBrN2
1.0
4.015 0.000 0.000
0.000 4.015 0.000
0.000 0.000 5.663
Pd Se Br N
1 1 1 2
Direct
0.000 0.000 0.000
0.000 0.000 0.500
0.500 0.500 0.500
0.000 0.500 0.000
0.500 0.000 0.000
```


PdSeBrN2: optimized geometry, PBE-GGA.

Results
Total DFT energy (no corrections): -3.357 eV/atom
SG: P4/mmm (123)
Uncorrected formation energy: 2.043 eV/atom

```
PdSeBrN2
1.0
3.744 0.000 0.000
0.000 3.744 0.000
0.000 0.000 7.369
Pd Se Br N
1 1 1 2
Direct
0.000 0.000 0.000
0.500 0.500 0.000
0.500 0.500 0.500
0.000 0.500 0.500
0.500 0.000 0.500
```


PdSe2BrN: optimized geometry, PBE-GGA.

Results
Total DFT energy (no corrections): -2.790 eV/atom
SG: P4/mmm (123)
Uncorrected formation energy: 1.642 eV/atom

```
PdSe2BrN
1.0
4.905 0.000 0.000
0.000 4.905 0.000
0.000 0.000 5.033
Pd Se Br N
1 2 1 1
Direct
0.000 0.000 0.000
0.000 0.500 0.000
0.500 0.000 0.000
0.000 0.000 0.500
0.500 0.500 0.500
```


PdSe2BrN: optimized geometry, PBE-GGA.

Results
Total DFT energy (no corrections): -2.874 eV/atom
SG: P4/mmm (123)
Uncorrected formation energy: 1.558 eV/atom

```
PdSe2BrN
1.0
5.317 0.000 0.000
0.000 5.317 0.000
0.000 0.000 3.597
Pd Se Br N
1 2 1 1
Direct
0.000 0.000 0.000
0.000 0.500 0.500
0.500 0.000 0.500
0.500 0.500 0.500
0.500 0.500 0.000
```


PdSe2BrN: optimized geometry, PBE-GGA.

Results
Total DFT energy (no corrections): -3.511 eV/atom
SG: P4/mmm (123)
Uncorrected formation energy: 0.921 eV/atom

```
PdSe2BrN
1.0
5.317 0.000 0.000
0.000 5.317 0.000
0.000 0.000 3.689
Pd Se Br N
1 2 1 1
Direct
0.000 0.000 0.000
0.000 0.500 0.000
0.500 0.000 0.000
0.500 0.500 0.500
0.000 0.000 0.500
```


PdSe2BrN: optimized geometry, PBE-GGA.

Results
Total DFT energy (no corrections): -3.331 eV/atom
SG: P4/mmm (123)
Uncorrected formation energy: 1.101 eV/atom

```
PdSe2BrN
1.0
4.494 0.000 0.000
0.000 4.494 0.000
0.000 0.000 4.436
Pd Se Br N
1 2 1 1
Direct
0.000 0.000 0.000
0.000 0.500 0.500
0.500 0.000 0.500
0.500 0.500 0.000
0.500 0.500 0.500
```


PdSeBrN2: optimized geometry, PBE-GGA.

Results
Total DFT energy (no corrections): -3.914 eV/atom
SG: P4/mmm (123)
Uncorrected formation energy: 1.486 eV/atom

```
PdSeBrN2
1.0
3.820 0.000 0.000
0.000 3.820 0.000
0.000 0.000 8.437
Pd Se Br N
1 1 1 2
Direct
0.000 0.000 0.000
0.500 0.500 0.500
0.000 0.000 0.500
0.000 0.500 0.000
0.500 0.000 0.000
```


TePdBrN2: optimized geometry, PBE-GGA.

Results
Total DFT energy (no corrections): -3.981 eV/atom
SG: P4/mmm (123)
Uncorrected formation energy: 1.351 eV/atom

```
TePdBrN2
1.0
4.115 0.000 0.000
0.000 4.115 0.000
0.000 0.000 5.857
Te Pd Br N
1 1 1 2
Direct
0.000 0.000 0.000
0.000 0.000 0.500
0.500 0.500 0.000
0.000 0.500 0.500
0.500 0.000 0.500
```


TePdBrN2: optimized geometry, PBE-GGA.

Results
Total DFT energy (no corrections): -3.351 eV/atom
SG: P4/mmm (123)
Uncorrected formation energy: 1.981 eV/atom

```
TePdBrN2
1.0
3.838 0.000 0.000
0.000 3.838 0.000
0.000 0.000 8.046
Te Pd Br N
1 1 1 2
Direct
0.000 0.000 0.000
0.500 0.500 0.000
0.000 0.000 0.500
0.000 0.500 0.500
0.500 0.000 0.500
```


YPdBrN2: optimized geometry, PBE-GGA.

Results
Total DFT energy (no corrections): -5.175 eV/atom
SG: P4/mmm (123)
Uncorrected formation energy: 0.822 eV/atom

```
YPdBrN2
1.0
4.472 0.000 0.000
0.000 4.472 0.000
0.000 0.000 5.715
Y Pd Br N
1 1 1 2
Direct
0.000 0.000 0.000
0.500 0.500 0.500
0.000 0.000 0.500
0.000 0.500 0.000
0.500 0.000 0.000
```


Pm4BrN2: optimized geometry, PBE-GGA.

Results
Total DFT energy (no corrections): -6.527 eV/atom
SG: R-3m (166)
Uncorrected formation energy: -1.195 eV/atom

```
Pm4BrN2
1.0
1.831 1.057 13.635
-1.831 1.057 13.635
0.000 -2.114 13.635
Pm Br N
4 1 2
Direct
0.123 0.123 0.123
0.276 0.276 0.276
0.724 0.724 0.724
0.877 0.877 0.877
0.000 0.000 0.000
0.422 0.422 0.422
0.578 0.578 0.578
```


Pm3Br2N2: optimized geometry, PBE-GGA.

Results
Total DFT energy (no corrections): -6.427 eV/atom
SG: P-1 (2)
Uncorrected formation energy: -1.535 eV/atom

```
Pm3Br2N2
1.0
3.609 0.000 0.000
1.799 6.119 0.000
0.000 1.218 7.463
Pm Br N
3 2 2
Direct
0.000 0.000 0.000
0.228 0.545 0.803
0.772 0.455 0.197
0.119 0.762 0.381
0.881 0.238 0.619
0.363 0.273 0.061
0.637 0.727 0.939
```